# 1
A plane-wave DFT calculation with PBE was carried out for ZnTcIr after structural relaxation.

Calculated values
formation enthalpy at 0 K = -5.4 kJ/mol of atoms
symmetry = Imm2 (44)
offset from the most stable computed form = 102 meV/atom
electronic total energy = -6.8893 eV/atom

Cell lengths 4.677, 4.677, 4.677 Å; angles 145.51, 131.68, 60.71 degrees
Fractional positions:
Ir 0.997 0.997 0.000
Tc 0.337 0.337 0.000
Zn 0.666 0.666 0.000

***

# 2
A plane-wave DFT calculation with PBE was carried out for ZnTcIr2 after structural relaxation.

Calculated values
formation enthalpy at 0 K = -3.7 kJ/mol of atoms
symmetry = Cmmm (65)
electronic total energy = -7.3788 eV/atom

Cell lengths 4.709, 4.709, 2.743 Å; angles 90.00, 90.00, 108.43 degrees
Fractional positions:
Ir 0.000 0.000 0.000
Ir 0.500 0.500 0.000
Tc 0.500 0.000 0.500
Zn 0.000 0.500 0.500

***

# 3
A plane-wave DFT calculation with PBE was carried out for ZnTcIr2 after structural relaxation.

Calculated values
formation enthalpy at 0 K = 91.7 kJ/mol of atoms
symmetry = I-42d (122)
electronic total energy = -6.3897 eV/atom

Cell lengths 5.814, 5.814, 6.560 Å; angles 63.69, 63.69, 90.00 degrees
Fractional positions:
Zn 0.500 0.500 0.000
Zn 0.250 0.750 0.500
Ir 0.640 0.125 0.250
Ir 0.110 0.625 0.250
Ir 0.375 0.360 0.750
Ir 0.875 0.890 0.750
Tc 0.000 0.000 0.000
Tc 0.750 0.250 0.500

***

# 4
A plane-wave DFT calculation with PBE was carried out for Zn2TcIr after structural relaxation.

Calculated values
formation enthalpy at 0 K = 5.0 kJ/mol of atoms
symmetry = Imm2 (44)
offset from the most stable computed form = 180 meV/atom
electronic total energy = -5.3917 eV/atom

Cell lengths 5.188, 5.188, 5.188 Å; angles 147.66, 129.41, 61.34 degrees
Fractional positions:
Ir 0.500 0.500 0.000
Tc 0.254 0.754 0.500
Zn 0.997 0.997 0.000
Zn 0.749 0.249 0.500

***

# 5
A plane-wave DFT calculation with PBE was carried out for ZnTcIr after structural relaxation.

Calculated values
formation enthalpy at 0 K = -6.0 kJ/mol of atoms
symmetry = P3m1 (156)
offset from the most stable computed form = 96 meV/atom
electronic total energy = -6.8956 eV/atom

Cell lengths 2.744, 2.744, 6.660 Å; angles 90.00, 90.00, 120.00 degrees
Fractional positions:
Ir 0.000 0.000 0.006
Tc 0.667 0.333 0.327
Zn 0.333 0.667 0.667

***

# 6
A plane-wave DFT calculation with PBE was carried out for ZnTcIr2 after structural relaxation.

Calculated values
formation enthalpy at 0 K = -4.7 kJ/mol of atoms
symmetry = Pmm2 (25)
electronic total energy = -7.3890 eV/atom

Cell lengths 4.407, 2.767, 4.729 Å; angles 90.02, 90.00, 90.00 degrees
Fractional positions:
Ir 0.000 0.125 0.943
Ir 0.500 0.125 0.293
Tc 0.000 0.625 0.462
Zn 0.500 0.625 0.801

***

# 7
A plane-wave DFT calculation with PBE was carried out for Zn2TcIr after structural relaxation.

Calculated values
formation enthalpy at 0 K = 3.9 kJ/mol of atoms
symmetry = I-4m2 (119)
offset from the most stable computed form = 169 meV/atom
electronic total energy = -5.4031 eV/atom

Cell lengths 4.584, 4.584, 4.584 Å; angles 128.67, 128.67, 75.55 degrees
Fractional positions:
Ir 0.500 0.500 0.000
Tc 0.750 0.250 0.500
Zn 0.000 0.000 0.000
Zn 0.250 0.750 0.500

***

# 8
A plane-wave DFT calculation with PBE was carried out for ZnTc2Ir after structural relaxation.

Calculated values
formation enthalpy at 0 K = 1.2 kJ/mol of atoms
symmetry = C2/m (12)
electronic total energy = -7.7039 eV/atom

Cell lengths 4.830, 4.830, 4.597 Å; angles 80.50, 80.50, 33.16 degrees
Fractional positions:
Ir 0.750 0.750 0.750
Tc 0.008 0.008 0.997
Tc 0.492 0.492 0.503
Zn 0.250 0.250 0.250

***

# 9
A plane-wave DFT calculation with PBE was carried out for Zn2TcIr2 after structural relaxation.

Calculated values
formation enthalpy at 0 K = 14.6 kJ/mol of atoms
symmetry = P4/mbm (127)
electronic total energy = -5.9759 eV/atom

Cell lengths 7.177, 7.177, 2.815 Å; angles 90.00, 90.00, 90.00 degrees
Each line ends with the local moment (μB).
Fractional positions:
Zn 0.381 0.881 0.000  0.01
Zn 0.881 0.619 0.000  0.01
Zn 0.619 0.119 0.000  0.01
Zn 0.119 0.381 0.000  0.01
Ir 0.182 0.682 0.500  0.07
Ir 0.682 0.818 0.500  0.07
Ir 0.818 0.318 0.500  0.07
Ir 0.318 0.182 0.500  0.07
Tc 0.000 0.000 0.000  0.59
Tc 0.500 0.500 0.000  0.59

***

# 10
A plane-wave DFT calculation with PBE was carried out for ZnTcIr2 after structural relaxation.

Calculated values
formation enthalpy at 0 K = 15.7 kJ/mol of atoms
symmetry = Pmmm (47)
electronic total energy = -7.1775 eV/atom

Cell lengths 2.798, 4.629, 4.508 Å; angles 90.00, 90.00, 90.00 degrees
Fractional positions:
Ir 0.000 0.000 0.000
Ir 0.500 0.500 0.000
Tc 0.500 0.000 0.500
Zn 0.000 0.500 0.500

***

# 11
A plane-wave DFT calculation with PBE was carried out for ZnTc3Ir after structural relaxation.

Calculated values
formation enthalpy at 0 K = 169.6 kJ/mol of atoms
symmetry = Pm-3m (221)
offset from the most stable computed form = 26 meV/atom
electronic total energy = -6.4884 eV/atom

Cell lengths 4.401, 4.401, 4.401 Å; angles 90.00, 90.00, 90.00 degrees
Fractional positions:
Zn 0.000 0.000 0.000
Ir 0.500 0.500 0.500
Tc 0.000 0.500 0.000
Tc 0.000 0.000 0.500
Tc 0.500 0.000 0.000

***

# 12
A plane-wave DFT calculation with PBE was carried out for ZnTc2Ir after structural relaxation.

Calculated values
formation enthalpy at 0 K = 14.4 kJ/mol of atoms
symmetry = Cmm2 (35)
electronic total energy = -7.5673 eV/atom

Cell lengths 2.710, 2.710, 8.964 Å; angles 90.00, 90.00, 116.65 degrees
Fractional positions:
Ir 0.500 0.500 0.747
Tc 0.000 0.000 0.005
Tc 0.500 0.500 0.247
Zn 0.000 0.000 0.501

***

The following spin magnetization values (in μB/cell) correspond, in order, to the records above: 0.00; 0.00; 0.00; 0.01; 0.00; 0.00; 0.00; 0.00; 1.58; 0.00; 0.00; 0.00.